This record from the Alexandria database describes a geometry-optimized AgMo3Ir structure. The functional is GGA-PBE.

Energy relative to the elements, eV/f.u.: 8.0
Total magnetic moment, μB per atom: 0.000
Space-group type: No. 221

abc: 4.7479 4.7479 4.7479
angles: 90.00 90.00 90.00
With the nearest neighbours (Å) after each atom.
Atoms (fractional coordinates):
Mo 0.0000 0.5000 0.0000  2 Ir 2.37
Mo 0.0000 0.0000 0.5000  2 Ir 2.37
Mo 0.5000 0.0000 0.0000  2 Ir 2.37
Ir 0.0000 0.0000 0.0000  6 Mo 2.37
Ag 0.5000 0.5000 0.5000  12 Mo 3.36